First-principles (PBE) data for a relaxed structure of SrTl2Cd5, as listed in the Alexandria database.

POSCAR file:
```
SrTl2Cd5
1.0
-2.1879 4.3096 5.8182
2.1879 -4.3096 5.8182
2.1879 4.3096 -5.8182
Sr Tl Cd
1 2 5
direct
0.0000 0.0000 0.0000
0.2365 0.7365 0.5000
0.7635 0.2635 0.5000
0.1832 0.3719 0.8112
0.4393 0.6281 0.8112
0.5000 0.0000 0.5000
0.5607 0.3719 0.1888
0.8168 0.6281 0.1888
```

Summary:
Electronic total energy   -1.4769 eV/atom
Space-group type   Immm
ΔH_f (0 K)   -0.103 eV/atom

***

First-principles (PBE) data for a relaxed structure of YTe2NO, as listed in the Alexandria database.

POSCAR file:
```
YTe2NO
1.0
4.5379 0.0000 0.0000
0.0000 4.5379 0.0000
0.0000 0.0000 4.6882
Y Te N O
1 2 1 1
direct
0.0000 0.0000 0.0000
0.0000 0.5000 0.5000
0.5000 0.0000 0.5000
0.5000 0.5000 0.0000
0.5000 0.5000 0.5000
```

Summary:
Electronic total energy   -4.9584 eV/atom
Space-group type   P4/mmm